w | Entry from the Alexandria database: an optimized crystal structure of ScSiCl2 (PBE).

- N(E_F): 0.38 states/eV/atom
- Total magnetic moment: 0.0000 μB per atom
- Space-group type: No. 65

a = 5.1305 Å, b = 5.1305 Å, c = 3.1801 Å
α = 90.00°, β = 90.00°, γ = 107.89°
Closest atoms and distances in Å follow each position.
Sites, in units of the cell vectors:
Sc 0.0000 0.0000 0.0000  8 Cl 3.02, 2 Si 3.02, 2 Sc 3.18
Si 0.5000 0.5000 0.0000  8 Cl 3.02, 2 Sc 3.02, 2 Si 3.18
Cl 0.0000 0.5000 0.5000  4 Sc 3.02, 4 Si 3.02, 4 Cl 3.02-3.18
Cl 0.5000 0.0000 0.5000  4 Sc 3.02, 4 Si 3.02, 4 Cl 3.02-3.18

---

x | Entry from the Alexandria database: an optimized crystal structure of ScSiCl2 (PBE).

- N(E_F): 0.16 states/eV/atom
- Total magnetic moment: 0.0000 μB per atom
- Space-group type: No. 38

a = 4.9558 Å, b = 4.9177 Å, c = 4.9177 Å
α = 41.04°, β = 90.00°, γ = 90.00°
Closest atoms and distances in Å follow each position.
Sites, in units of the cell vectors:
Sc 0.0000 0.0000 0.0000  3 Cl 2.58-2.68
Si 0.5000 0.4068 0.4068  1 Cl 2.25
Cl 0.0000 0.7088 0.7088  3 Sc 2.58-2.68
Cl 0.5000 0.1625 0.1625  1 Si 2.25

---

Here is how they stack up, most stable first: x, w.

---

w | Entry from the Alexandria database: an optimized crystal structure of ScSiCl2 (PBE).

- N(E_F): 0.51 states/eV/atom
- Total magnetic moment: 0.0707 μB per atom
- Space-group type: No. 166

a = 10.6971 Å, b = 10.6971 Å, c = 10.6971 Å
α = 17.81°, β = 17.81°, γ = 17.81°
Closest atoms and distances in Å follow each position.
Sites, in units of the cell vectors:
Sc 0.0000 0.0000 0.0000  6 Cl 2.53
Si 0.5000 0.5000 0.5000  6 Si 3.31
Cl 0.2808 0.2808 0.2808  3 Sc 2.53
Cl 0.7192 0.7192 0.7192  3 Sc 2.53

---

x | Entry from the Alexandria database: an optimized crystal structure of ScSiCl2 (PBE).

- N(E_F): 0.54 states/eV/atom
- Total magnetic moment: 0.0001 μB per atom
- Space-group type: No. 119

a = 5.9859 Å, b = 5.9859 Å, c = 5.9859 Å
α = 142.51°, β = 142.51°, γ = 54.06°
Closest atoms and distances in Å follow each position.
Sites, in units of the cell vectors:
Sc 0.0000 0.0000 0.0000  4 Cl 2.72
Si 0.2500 0.7500 0.5000  4 Cl 2.72
Cl 0.5000 0.5000 0.0000  4 Sc 2.72
Cl 0.7500 0.2500 0.5000  4 Si 2.72

---

Here is how they stack up, most stable first: w, x.

---

w | Entry from the Alexandria database: an optimized crystal structure of ScSiCl2 (PBE).

- N(E_F): 0.51 states/eV/atom
- Total magnetic moment: 0.0887 μB per atom
- Space-group type: No. 47

a = 3.2079 Å, b = 4.3749 Å, c = 5.5073 Å
α = 90.00°, β = 90.00°, γ = 90.00°
Closest atoms and distances in Å follow each position.
Sites, in units of the cell vectors:
Sc 0.0000 0.0000 0.0000  4 Cl 2.71
Si 0.5000 0.0000 0.5000  4 Cl 2.71
Cl 0.0000 0.5000 0.5000  4 Si 2.71
Cl 0.5000 0.5000 0.0000  4 Sc 2.71

---

x | Entry from the Alexandria database: an optimized crystal structure of ScSiCl2 (PBE).

- N(E_F): 0.54 states/eV/atom
- Total magnetic moment: 0.0000 μB per atom
- Space-group type: No. 71

a = 7.5671 Å, b = 7.5671 Å, c = 7.5671 Å
α = 155.53°, β = 141.60°, γ = 46.07°
Closest atoms and distances in Å follow each position.
Sites, in units of the cell vectors:
Sc 0.0000 0.0000 0.0000  4 Cl 2.56
Si 0.5000 0.5000 0.0000  4 Sc 2.96, 4 Cl 3.19, 2 Si 3.21
Cl 0.1433 0.6433 0.5000  2 Sc 2.56
Cl 0.8567 0.3567 0.5000  2 Sc 2.56

---

y | Entry from the Alexandria database: an optimized crystal structure of ScSiCl2 (PBE).

- N(E_F): 0.34 states/eV/atom
- Total magnetic moment: 0.0000 μB per atom
- Space-group type: No. 10

a = 3.6397 Å, b = 4.4944 Å, c = 5.0224 Å
α = 90.00°, β = 90.89°, γ = 90.00°
Closest atoms and distances in Å follow each position.
Sites, in units of the cell vectors:
Sc 0.0000 0.0000 0.0000  4 Cl 2.68
Si 0.5000 0.0000 0.5000  4 Cl 2.77, 2 Sc 3.08
Cl 0.2210 0.5000 0.2453  2 Sc 2.68, 2 Si 2.77, 1 Cl 2.92
Cl 0.7790 0.5000 0.7547  2 Sc 2.68, 2 Si 2.77, 1 Cl 2.92

---

Here is how they stack up, most stable first: x, w, y.